The following is a PBE calculation of Zr5Zn after structural relaxation, from Alexandria.

The structure in CIF format:
```
data_Zr5Zn
_chemical_formula_sum 'Zr5 Zn1'
_cell_length_a 7.086
_cell_length_b 7.086
_cell_length_c 4.344
_cell_angle_alpha 90.00
_cell_angle_beta 90.00
_cell_angle_gamma 143.50
_space_group_name_H-M_alt 'P 1'
_space_group_IT_number 1
_space_group_name_Hall 'P 1'
loop_
_atom_site_label
_atom_site_fract_x
_atom_site_fract_y
_atom_site_fract_z
Zr1 0.000 0.000 0.000
Zr2 0.164 0.836 0.500
Zr3 0.339 0.661 0.000
Zr4 0.661 0.339 0.000
Zr5 0.836 0.164 0.500
Zn1 0.500 0.500 0.500
```

Output
ρ ... 6.7 g cm⁻³
DFT formation energy ... -0.063 eV per atom
V ... 129.7 Å³/f.u.
Space group ... Cmmm (65)

***

The following is a PBE calculation of SrPuAl after structural relaxation, from Alexandria.

The structure in CIF format:
```
data_SrPuAl
_chemical_formula_sum 'Sr2 Pu2 Al2'
_cell_length_a 3.531
_cell_length_b 3.531
_cell_length_c 12.695
_cell_angle_alpha 90.00
_cell_angle_beta 90.00
_cell_angle_gamma 90.00
_space_group_name_H-M_alt 'P 1'
_space_group_IT_number 1
_space_group_name_Hall 'P 1'
loop_
_atom_site_label
_atom_site_fract_x
_atom_site_fract_y
_atom_site_fract_z
Sr1 0.250 0.250 0.140
Sr2 0.750 0.750 0.860
Pu1 0.250 0.750 0.500
Pu2 0.750 0.250 0.500
Al1 0.250 0.250 0.692
Al2 0.750 0.750 0.308
```

Output
ρ ... 7.5 g cm⁻³
DFT formation energy ... 0.317 eV per atom
V ... 79.1 Å³/f.u.
Space group ... P4/nmm (129)

***

The following is a PBE calculation of Cs2Mn2Se3 after structural relaxation, from Alexandria.

The structure in CIF format:
```
data_Cs2Mn2Se3
_chemical_formula_sum 'Cs2 Mn2 Se3'
_cell_length_a 7.440
_cell_length_b 7.440
_cell_length_c 8.958
_cell_angle_alpha 121.57
_cell_angle_beta 121.57
_cell_angle_gamma 34.50
_space_group_name_H-M_alt 'P 1'
_space_group_IT_number 1
_space_group_name_Hall 'P 1'
loop_
_atom_site_label
_atom_site_fract_x
_atom_site_fract_y
_atom_site_fract_z
Cs1 0.066 0.066 0.346
Cs2 0.934 0.934 0.654
Mn1 0.306 0.306 0.933
Mn2 0.694 0.694 0.067
Se1 0.304 0.304 0.225
Se2 0.500 0.500 0.000
Se3 0.696 0.696 0.775
```

Output
Energy relative to the elements, uncorrected ... -789 meV/atom
ρ ... 4.3 g cm⁻³
V ... 234.9 Å³/f.u.
Space group ... C2/m (12)

***

The following is a PBE calculation of LaCu3Os after structural relaxation, from Alexandria.

The structure in CIF format:
```
data_LaCu3Os
_chemical_formula_sum 'La1 Cu3 Os1'
_cell_length_a 4.792
_cell_length_b 4.792
_cell_length_c 4.792
_cell_angle_alpha 90.00
_cell_angle_beta 90.00
_cell_angle_gamma 90.00
_space_group_name_H-M_alt 'P 1'
_space_group_IT_number 1
_space_group_name_Hall 'P 1'
loop_
_atom_site_label
_atom_site_fract_x
_atom_site_fract_y
_atom_site_fract_z
La1 0.000 0.000 0.000
Cu1 0.000 0.000 0.500
Cu2 0.000 0.500 0.000
Cu3 0.500 0.000 0.000
Os1 0.500 0.500 0.500
```

Output
ρ ... 7.8 g cm⁻³
DFT formation energy ... 2.184 eV per atom
V ... 110.0 Å³/f.u.
Space group ... Pm-3m (221)

***

The following is a PBE calculation of La4As2S6O3 after structural relaxation, from Alexandria.

The structure in CIF format:
```
data_La4As2S6O3
_chemical_formula_sum 'La8 As4 S12 O6'
_cell_length_a 11.790
_cell_length_b 11.790
_cell_length_c 11.790
_cell_angle_alpha 118.23
_cell_angle_beta 69.65
_cell_angle_gamma 151.00
_space_group_name_H-M_alt 'P 1'
_space_group_IT_number 1
_space_group_name_Hall 'P 1'
loop_
_atom_site_label
_atom_site_fract_x
_atom_site_fract_y
_atom_site_fract_z
La1 0.074 0.101 0.176
La2 0.220 0.892 0.112
La3 0.280 0.392 0.672
La4 0.426 0.601 0.027
La5 0.574 0.398 0.973
La6 0.720 0.608 0.328
La7 0.780 0.108 0.888
La8 0.926 0.898 0.824
As1 0.006 0.490 0.269
As2 0.221 0.737 0.731
As3 0.506 0.237 0.516
As4 0.721 0.990 0.484
S1 0.076 0.797 0.873
S2 0.109 0.323 0.466
S3 0.226 0.636 0.856
S4 0.280 0.136 0.410
S5 0.357 0.823 0.214
S6 0.424 0.297 0.721
S7 0.576 0.703 0.279
S8 0.609 0.143 0.786
S9 0.726 0.870 0.590
S10 0.780 0.370 0.144
S11 0.857 0.643 0.534
S12 0.924 0.203 0.127
O1 0.100 0.256 0.845
O2 0.257 0.257 0.000
O3 0.410 0.255 0.155
O4 0.600 0.755 0.845
O5 0.757 0.757 0.000
O6 0.910 0.756 0.155
```

Output
Energy relative to the elements, uncorrected ... -2032 meV/atom
ρ ... 4.5 g cm⁻³
V ... 345.7 Å³/f.u.
Space group ... Iba2 (45)

***

The following is a PBE calculation of HfAs2Ru after structural relaxation, from Alexandria.

The structure in CIF format:
```
data_HfAs2Ru
_chemical_formula_sum 'Hf2 As4 Ru2'
_cell_length_a 9.350
_cell_length_b 9.350
_cell_length_c 9.350
_cell_angle_alpha 154.85
_cell_angle_beta 154.85
_cell_angle_gamma 35.86
_space_group_name_H-M_alt 'P 1'
_space_group_IT_number 1
_space_group_name_Hall 'P 1'
loop_
_atom_site_label
_atom_site_fract_x
_atom_site_fract_y
_atom_site_fract_z
Hf1 0.000 0.000 0.000
Hf2 0.750 0.250 0.500
As1 0.159 0.625 0.034
As2 0.375 0.409 0.534
As3 0.591 0.125 0.966
As4 0.875 0.841 0.466
Ru1 0.250 0.750 0.500
Ru2 0.500 0.500 0.000
```

Output
ρ ... 9.7 g cm⁻³
DFT formation energy ... -0.159 eV per atom
V ... 73.7 Å³/f.u.
Space group ... I-42d (122)

***

The following is a PBE calculation of BaZn2SnIr after structural relaxation, from Alexandria.

The structure in CIF format:
```
data_BaZn2SnIr
_chemical_formula_sum 'Ba1 Zn2 Sn1 Ir1'
_cell_length_a 5.796
_cell_length_b 5.796
_cell_length_c 5.251
_cell_angle_alpha 90.00
_cell_angle_beta 90.00
_cell_angle_gamma 90.00
_space_group_name_H-M_alt 'P 1'
_space_group_IT_number 1
_space_group_name_Hall 'P 1'
loop_
_atom_site_label
_atom_site_fract_x
_atom_site_fract_y
_atom_site_fract_z
Ba1 0.000 0.000 0.000
Zn1 0.000 0.500 0.000
Zn2 0.500 0.000 0.000
Sn1 0.500 0.500 0.500
Ir1 0.000 0.000 0.500
```

Output
ρ ... 5.5 g cm⁻³
DFT formation energy ... 1.344 eV per atom
V ... 176.4 Å³/f.u.
Space group ... P4/mmm (123)

***

The following is a PBE calculation of La12DyEr6 after structural relaxation, from Alexandria.

The structure in CIF format:
```
data_La12DyEr6
_chemical_formula_sum 'La12 Dy1 Er6'
_cell_length_a 9.311
_cell_length_b 9.311
_cell_length_c 9.311
_cell_angle_alpha 106.78
_cell_angle_beta 106.78
_cell_angle_gamma 106.78
_space_group_name_H-M_alt 'P 1'
_space_group_IT_number 1
_space_group_name_Hall 'P 1'
loop_
_atom_site_label
_atom_site_fract_x
_atom_site_fract_y
_atom_site_fract_z
La1 0.118 0.288 0.819
La2 0.181 0.882 0.712
La3 0.194 0.489 0.584
La4 0.288 0.819 0.118
La5 0.416 0.806 0.511
La6 0.489 0.584 0.194
La7 0.511 0.416 0.806
La8 0.584 0.194 0.489
La9 0.712 0.181 0.882
La10 0.806 0.511 0.416
La11 0.819 0.118 0.288
La12 0.882 0.712 0.181
Dy1 0.000 0.000 0.000
Er1 0.087 0.441 0.192
Er2 0.192 0.087 0.441
Er3 0.441 0.192 0.087
Er4 0.559 0.808 0.913
Er5 0.808 0.913 0.559
Er6 0.913 0.559 0.808
```

Output
ρ ... 7.0 g cm⁻³
DFT formation energy ... 0.228 eV per atom
V ... 676.3 Å³/f.u.
Space group ... R-3 (148)

***

The following is a PBE calculation of TaCu3F after structural relaxation, from Alexandria.

The structure in CIF format:
```
data_TaCu3F
_chemical_formula_sum 'Ta1 Cu3 F1'
_cell_length_a 4.857
_cell_length_b 4.857
_cell_length_c 4.857
_cell_angle_alpha 90.00
_cell_angle_beta 90.00
_cell_angle_gamma 90.00
_space_group_name_H-M_alt 'P 1'
_space_group_IT_number 1
_space_group_name_Hall 'P 1'
loop_
_atom_site_label
_atom_site_fract_x
_atom_site_fract_y
_atom_site_fract_z
Ta1 0.000 0.000 0.000
Cu1 0.000 0.000 0.500
Cu2 0.000 0.500 0.000
Cu3 0.500 0.000 0.000
F1 0.500 0.500 0.500
```

Output
Energy relative to the elements, uncorrected ... 1370 meV/atom
ρ ... 5.7 g cm⁻³
V ... 114.6 Å³/f.u.
Space group ... Pm-3m (221)

***

The following is a PBE calculation of LaMgInGe after structural relaxation, from Alexandria.

The structure in CIF format:
```
data_LaMgInGe
_chemical_formula_sum 'La1 Mg1 In1 Ge1'
_cell_length_a 5.220
_cell_length_b 5.220
_cell_length_c 5.220
_cell_angle_alpha 60.00
_cell_angle_beta 60.00
_cell_angle_gamma 60.00
_space_group_name_H-M_alt 'P 1'
_space_group_IT_number 1
_space_group_name_Hall 'P 1'
loop_
_atom_site_label
_atom_site_fract_x
_atom_site_fract_y
_atom_site_fract_z
La1 0.000 0.000 0.000
Mg1 0.500 0.500 0.500
In1 0.250 0.250 0.250
Ge1 0.750 0.750 0.750
```

Output
ρ ... 5.8 g cm⁻³
DFT formation energy ... -0.356 eV per atom
V ... 100.6 Å³/f.u.
Space group ... F-43m (216)

***

The following is a PBE calculation of SnSbPb2Au4 after structural relaxation, from Alexandria.

The structure in CIF format:
```
data_SnSbPb2Au4
_chemical_formula_sum 'Sn1 Sb1 Pb2 Au4'
_cell_length_a 6.468
_cell_length_b 4.152
_cell_length_c 7.909
_cell_angle_alpha 90.00
_cell_angle_beta 109.89
_cell_angle_gamma 90.00
_space_group_name_H-M_alt 'P 1'
_space_group_IT_number 1
_space_group_name_Hall 'P 1'
loop_
_atom_site_label
_atom_site_fract_x
_atom_site_fract_y
_atom_site_fract_z
Sn1 0.000 0.000 0.000
Sb1 0.000 0.500 0.500
Pb1 0.500 0.000 0.500
Pb2 0.500 0.500 0.000
Au1 0.219 0.000 0.742
Au2 0.221 0.500 0.243
Au3 0.779 0.500 0.757
Au4 0.781 0.000 0.258
```

Output
Energy relative to the elements, uncorrected ... -70 meV/atom
ρ ... 12.0 g cm⁻³
V ... 199.7 Å³/f.u.
Space group ... P2/m (10)

***

The following is a PBE calculation of ZrPd4Au after structural relaxation, from Alexandria.

The structure in CIF format:
```
data_ZrPd4Au
_chemical_formula_sum 'Zr1 Pd4 Au1'
_cell_length_a 4.547
_cell_length_b 4.547
_cell_length_c 5.659
_cell_angle_alpha 90.00
_cell_angle_beta 90.00
_cell_angle_gamma 120.35
_space_group_name_H-M_alt 'P 1'
_space_group_IT_number 1
_space_group_name_Hall 'P 1'
loop_
_atom_site_label
_atom_site_fract_x
_atom_site_fract_y
_atom_site_fract_z
Zr1 0.000 0.000 0.000
Pd1 0.334 0.666 0.253
Pd2 0.334 0.666 0.747
Pd3 0.666 0.334 0.253
Pd4 0.666 0.334 0.747
Au1 0.000 0.000 0.500
```

Output
ρ ... 11.7 g cm⁻³
DFT formation energy ... -0.426 eV per atom
V ... 100.9 Å³/f.u.
Space group ... Cmmm (65)